First-principles (PBE) data for a relaxed structure of Tm6Te3PC2, as listed in the Alexandria database.

Geometry as CIF:
```
data_Tm6Te3PC2
_cell_length_a 6.724
_cell_length_b 6.724
_cell_length_c 7.260
_cell_angle_alpha 98.90
_cell_angle_beta 98.90
_cell_angle_gamma 119.98
_symmetry_space_group_name_H-M 'P 1'
_symmetry_Int_Tables_number 1
loop_
_symmetry_equiv_pos_as_xyz
'x,y,z'
loop_
_atom_site_label
_atom_site_type_symbol
_atom_site_fract_x
_atom_site_fract_y
_atom_site_fract_z
Tm1 Tm 0.935 0.577 0.806
Tm2 Tm 0.706 0.706 0.190
Tm3 Tm 0.065 0.423 0.194
Tm4 Tm 0.577 0.935 0.806
Tm5 Tm 0.294 0.294 0.810
Tm6 Tm 0.423 0.065 0.194
Te1 Te 0.160 0.840 0.500
Te2 Te 0.840 0.160 0.500
Te3 Te 0.500 0.500 0.500
P1 P 0.000 0.000 0.000
C1 C 0.333 0.667 0.000
C2 C 0.667 0.333 0.000
```

Results
DFT total energy ... -6.100 eV per atom
Formation energy without anion corrections ... -1.091 eV/atom
Space group ... C2/m (12)